Record 1
! Dy2Ge2BOs2 (GGA-PBE, optimized geometry); values from VASP
&SYSTEM
  ibrav = 0, nat = 7, ntyp = 4
/
ATOMIC_SPECIES
Os 190.23 Os.upf
Dy 162.50 Dy.upf
Ge 72.64 Ge.upf
B 10.81 B.upf
CELL_PARAMETERS angstrom
-1.464 3.461 1.953
-5.949 0.196 -0.215
-2.107 -1.323 5.357
ATOMIC_POSITIONS crystal
Os 0.790 0.314 0.107
Os 0.210 0.686 0.893
Dy 0.564 0.167 0.705
Ge 0.846 0.612 0.696
Dy 0.436 0.833 0.295
B 0.000 0.000 0.000
Ge 0.154 0.388 0.304
! Density of states at the Fermi level, states/eV/f.u.: 2.975
! Total energy, eV/f.u.: -52.01

=====

Record 2
! LiGaCl2 (GGA-PBE, optimized geometry); values from VASP
&SYSTEM
  ibrav = 0, nat = 4, ntyp = 3
/
ATOMIC_SPECIES
Cl 35.45 Cl.upf
Li 6.94 Li.upf
Ga 69.72 Ga.upf
CELL_PARAMETERS angstrom
3.812 0.000 0.000
1.906 3.302 0.000
1.906 1.101 6.993
ATOMIC_POSITIONS crystal
Cl 0.068 0.068 0.795
Li 0.667 0.667 0.998
Cl 0.265 0.265 0.206
Ga 0.500 0.500 0.501
! Formation energy (no corrections), eV/atom: -1.196
! Excess energy over the best structure of this formula in the dataset, eV per atom: 0.007
! Density of states at the Fermi level, states/eV/f.u.: 0.000
! Total energy, eV/f.u.: -13.42

=====

Record 3
! YCrAs2 (GGA-PBE, optimized geometry); values from VASP
&SYSTEM
  ibrav = 0, nat = 4, ntyp = 3
/
ATOMIC_SPECIES
As 74.92 As.upf
Y 88.91 Y.upf
Cr 52.00 Cr.upf
CELL_PARAMETERS angstrom
-1.030 -4.628 4.866
3.165 -5.627 2.116
0.217 6.549 -1.797
ATOMIC_POSITIONS crystal
As 0.690 0.190 0.500
As 0.973 0.973 0.000
Y 0.294 0.794 0.500
Cr 0.543 0.543 0.000
! Excess energy over the best structure of this formula in the dataset, eV per atom: 0.231
! Density of states at the Fermi level, states/eV/f.u.: 0.686
! Total energy, eV/f.u.: -27.59

=====

Record 4
! TbPaIn (GGA-PBE, optimized geometry); values from VASP
&SYSTEM
  ibrav = 0, nat = 3, ntyp = 3
/
ATOMIC_SPECIES
Tb 158.93 Tb.upf
In 114.82 In.upf
Pa 231.04 Pa.upf
CELL_PARAMETERS angstrom
-2.092 -2.219 -0.580
3.853 -3.698 0.250
-2.680 1.371 4.418
ATOMIC_POSITIONS crystal
Tb 0.166 0.667 0.333
In 0.667 0.333 0.667
Pa 0.167 0.000 0.000
! Excess energy over the best structure of this formula in the dataset, eV per atom: 0.224
! Density of states at the Fermi level, states/eV/f.u.: 4.940
! Total energy, eV/f.u.: -16.31